# 1
An optimized crystal structure of Y6Er2Tm3Zr, computed with PBE.

Cell and atoms, written as POSCAR:
```
Y6Er2Tm3Zr
1.0
-0.377 -5.073 -3.305
3.481 4.593 -1.894
7.863 -4.223 7.433
Y Er Tm Zr
6 2 3 1
Cartesian
3.325 0.428 0.780
6.699 -3.307 4.335
2.061 -2.738 0.318
4.267 -1.397 -2.102
7.642 -5.131 1.454
8.905 -1.966 1.915
2.196 1.373 -2.364
0.908 -1.853 -2.835
5.483 -2.352 1.117
6.769 0.870 1.587
4.197 -5.574 0.647
0.000 0.000 0.000
```

Summary:
* DFT formation energy: 52 meV per atom

=====

# 2
An optimized crystal structure of YEr2Tm5Zr, computed with PBE.

Cell and atoms, written as POSCAR:
```
YEr2Tm5Zr
1.0
5.545 0.000 0.000
-2.773 10.698 0.000
0.000 0.000 9.232
Tm Er Y Zr
10 4 2 2
Cartesian
0.000 0.300 0.116
2.773 4.971 7.651
0.000 6.512 6.584
0.000 5.727 3.035
2.773 10.399 4.732
2.773 2.246 5.032
0.000 8.452 0.416
2.773 0.624 2.282
0.000 10.074 6.898
2.773 4.187 1.968
0.000 2.445 2.947
0.000 2.885 6.577
2.773 7.813 1.961
2.773 8.254 7.563
2.773 2.116 8.560
0.000 8.582 3.944
0.000 3.950 0.168
2.773 6.749 4.784
```

Summary:
* DFT formation energy: 178 meV per atom

=====

# 3
An optimized crystal structure of Y3Er6Tm2Zr, computed with PBE.

Cell and atoms, written as POSCAR:
```
Y3Er6Tm2Zr
1.0
-1.147 0.307 -5.921
-4.451 -1.308 3.866
-0.509 11.425 1.714
Zr Y Er Tm
1 3 6 2
Cartesian
0.000 0.000 0.000
-4.155 4.673 3.092
-3.053 5.212 -0.171
-1.952 5.750 -3.433
-1.763 8.412 0.793
-2.032 2.263 1.514
-4.075 8.160 -1.855
-0.951 2.792 -1.687
-5.156 7.632 1.346
-4.344 2.012 -1.134
-2.248 -0.231 -2.660
-3.350 -0.770 0.605
```

Summary:
* DFT formation energy: 44 meV per atom

=====

# 4
An optimized crystal structure of Er4TmZn2, computed with PBE.

Cell and atoms, written as POSCAR:
```
Er4TmZn2
1.0
4.913 0.000 0.000
2.456 4.255 0.000
2.456 1.418 9.654
Er Zn Tm
4 2 1
Cartesian
4.913 2.836 7.779
2.456 1.418 3.795
7.369 4.255 5.859
4.913 2.836 1.876
7.369 4.255 2.893
2.456 1.418 6.761
0.000 0.000 0.000
```

Summary:
* DFT formation energy: 135 meV per atom

=====

Q: Which of these has the lowest DFT formation energy?
A: Y3Er6Tm2Zr